A plane-wave DFT calculation with PBE with a Hubbard U was carried out for ZnFeO2 after structural relaxation.

a b c (Å): 5.336 5.336 5.336
angles (deg): 131.99 131.99 70.24
Fractional coordinates of all 8 atoms:
Zn (0.375, 0.625, 0.750)
Zn (0.625, 0.375, 0.250)
Fe (0.125, 0.875, 0.250)
Fe (0.875, 0.125, 0.750)
O (0.131, 0.381, 0.750)
O (0.381, 0.131, 0.250)
O (0.619, 0.869, 0.750)
O (0.869, 0.619, 0.250)

Properties
Theoretical density (Mg/m³): 6.2
Crystal system: tetragonal
VASP energy (eV/cell): -42.644